Below is an optimized crystal structure of GaB3N3, with properties calculated at the PBE level.

```
data_GaB3N3
_cell_length_a 4.722
_cell_length_b 4.722
_cell_length_c 4.722
_cell_angle_alpha 90.00
_cell_angle_beta 90.00
_cell_angle_gamma 90.00
_symmetry_space_group_name_H-M 'P m -3 n'
_symmetry_Int_Tables_number 223
_symmetry_space_group_name_Hall '-P 4n 2 3'
loop_
_atom_site_label
_atom_site_type_symbol
_atom_site_fract_x
_atom_site_fract_y
_atom_site_fract_z
Ga1 Ga 0.000 0.000 0.000
B1 B 0.000 0.250 0.500
N1 N 0.000 0.500 0.250
```

Computed properties:
**Uncorrected formation energy**: 0.150 eV per atom
**E_tot**: -6.712 eV per atom



Below is an optimized crystal structure of Li2DyLu, with properties calculated at the PBE level.

```
data_Li2DyLu
_cell_length_a 3.666
_cell_length_b 3.666
_cell_length_c 7.335
_cell_angle_alpha 90.00
_cell_angle_beta 90.00
_cell_angle_gamma 90.00
_symmetry_space_group_name_H-M 'P 4/m m m'
_symmetry_Int_Tables_number 123
_symmetry_space_group_name_Hall '-P 4 2'
loop_
_atom_site_label
_atom_site_type_symbol
_atom_site_fract_x
_atom_site_fract_y
_atom_site_fract_z
Li1 Li 0.000 0.000 0.247
Dy1 Dy 0.500 0.500 0.500
Lu1 Lu 0.500 0.500 0.000
```

Computed properties:
**E_tot**: -3.078 eV per atom
**Polymorph energy (0 for the lowest one)**: 0 meV per atom



Below is an optimized crystal structure of TlBi2Sb2, with properties calculated at the PBE level.

```
data_TlBi2Sb2
_cell_length_a 8.735
_cell_length_b 8.735
_cell_length_c 4.152
_cell_angle_alpha 90.00
_cell_angle_beta 90.00
_cell_angle_gamma 90.00
_symmetry_space_group_name_H-M 'P 4/m b m'
_symmetry_Int_Tables_number 127
_symmetry_space_group_name_Hall '-P 4 2ab'
loop_
_atom_site_label
_atom_site_type_symbol
_atom_site_fract_x
_atom_site_fract_y
_atom_site_fract_z
Tl1 Tl 0.000 0.000 0.000
Bi1 Bi 0.150 0.350 0.500
Sb1 Sb 0.152 0.652 0.000
```

Computed properties:
**Uncorrected formation energy**: 0.109 eV per atom
**E_tot**: -3.566 eV per atom
**Polymorph energy (0 for the lowest one)**: 7 meV per atom



Below is an optimized crystal structure of CsAg3Pb4Cl12, with properties calculated at the PBE level.

```
data_CsAg3Pb4Cl12
_cell_length_a 10.743
_cell_length_b 10.743
_cell_length_c 10.743
_cell_angle_alpha 90.00
_cell_angle_beta 90.00
_cell_angle_gamma 90.00
_symmetry_space_group_name_H-M 'I m -3'
_symmetry_Int_Tables_number 204
_symmetry_space_group_name_Hall '-I 2 2 3'
loop_
_atom_site_label
_atom_site_type_symbol
_atom_site_fract_x
_atom_site_fract_y
_atom_site_fract_z
Cs1 Cs 0.000 0.000 0.000
Ag1 Ag 0.000 0.000 0.500
Pb1 Pb 0.250 0.250 0.250
Cl1 Cl 0.000 0.315 0.168
```

Computed properties:
**Uncorrected formation energy**: -1.013 eV per atom
**E_tot**: -3.333 eV per atom



Below is an optimized crystal structure of TePSeBr2, with properties calculated at the PBE level.

```
data_TePSeBr2
_cell_length_a 5.536
_cell_length_b 5.536
_cell_length_c 5.576
_cell_angle_alpha 90.00
_cell_angle_beta 90.00
_cell_angle_gamma 90.00
_symmetry_space_group_name_H-M 'P 4/m m m'
_symmetry_Int_Tables_number 123
_symmetry_space_group_name_Hall '-P 4 2'
loop_
_atom_site_label
_atom_site_type_symbol
_atom_site_fract_x
_atom_site_fract_y
_atom_site_fract_z
Te1 Te 0.000 0.000 0.000
P1 P 0.500 0.500 0.500
Se1 Se 0.000 0.000 0.500
Br1 Br 0.000 0.500 0.000
```

Computed properties:
**Uncorrected formation energy**: 0.688 eV per atom
**E_tot**: -2.389 eV per atom
**Polymorph energy (0 for the lowest one)**: 323 meV per atom



Below is an optimized crystal structure of AlPtW2, with properties calculated at the PBE level.

```
data_AlPtW2
_cell_length_a 5.296
_cell_length_b 8.589
_cell_length_c 2.735
_cell_angle_alpha 90.00
_cell_angle_beta 90.45
_cell_angle_gamma 90.00
_symmetry_space_group_name_H-M 'C 1 2/m 1'
_symmetry_Int_Tables_number 12
_symmetry_space_group_name_Hall '-C 2y'
loop_
_atom_site_label
_atom_site_type_symbol
_atom_site_fract_x
_atom_site_fract_y
_atom_site_fract_z
Al1 Al 0.000 0.000 0.000
Pt1 Pt 0.000 0.500 0.000
W1 W 0.250 0.250 0.500
```

Computed properties:
**E_tot**: -9.044 eV per atom



Below is an optimized crystal structure of Be2InMo, with properties calculated at the PBE level.

```
data_Be2InMo
_cell_length_a 3.520
_cell_length_b 3.456
_cell_length_c 4.708
_cell_angle_alpha 90.00
_cell_angle_beta 111.77
_cell_angle_gamma 90.00
_symmetry_space_group_name_H-M 'P 1 m 1'
_symmetry_Int_Tables_number 6
_symmetry_space_group_name_Hall 'P -2y'
loop_
_atom_site_label
_atom_site_type_symbol
_atom_site_fract_x
_atom_site_fract_y
_atom_site_fract_z
Be1 Be 0.000 0.000 0.000
Be2 Be 0.140 0.500 0.281
In1 In 0.414 0.500 0.827
Mo1 Mo 0.694 0.000 0.391
```

Computed properties:
**E_tot**: -5.050 eV per atom



Below is an optimized crystal structure of V12Zn3Si, with properties calculated at the PBE level.

```
data_V12Zn3Si
_cell_length_a 4.751
_cell_length_b 4.757
_cell_length_c 9.507
_cell_angle_alpha 90.00
_cell_angle_beta 90.00
_cell_angle_gamma 90.00
_symmetry_space_group_name_H-M 'P m m m'
_symmetry_Int_Tables_number 47
_symmetry_space_group_name_Hall '-P 2 2'
loop_
_atom_site_label
_atom_site_type_symbol
_atom_site_fract_x
_atom_site_fract_y
_atom_site_fract_z
V1 V 0.000 0.000 0.122
V2 V 0.000 0.000 0.375
V3 V 0.248 0.500 0.256
V4 V 0.500 0.247 0.000
V5 V 0.500 0.257 0.500
Zn1 Zn 0.000 0.500 0.000
Zn2 Zn 0.500 0.000 0.251
Si1 Si 0.000 0.500 0.500
```

Computed properties:
**Uncorrected formation energy**: -0.077 eV per atom
**E_tot**: -7.494 eV per atom



- The lowest E_tot belongs to which entry?
  AlPtW2